## CdIn2NiBi (PBE)

Data for a geometry-optimized CdIn2NiBi structure.

The space group is P4/mmm (No. 123) and the conventional cell measures 4.975, 4.975 and 5.132 Å, with angles of 90.00, 90.00 and 90.00 degrees. The inequivalent atoms are Cd at (0.000, 0.000, 0.000), In at (0.000, 0.500, 0.500), Ni at (0.000, 0.000, 0.500) and Bi at (0.500, 0.500, 0.000).

As for the offset from the most stable computed form: 20 meV per atom. The value obtained for the formation energy is 103 meV per atom.